{
  "formula": "NaSm2ZnO5",
  "functional": "PBE",
  "state": "relaxed",
  "formation_energy_uncorrected_ev_per_atom": -2.30,
  "crystal_system": "tetragonal",
  "dos_ef_per_ev_cell": 6.5,
  "lattice": [[6.652, 0.000, 0.000], [0.000, 6.652, 0.000], [0.000, 0.000, 5.794]],
  "species": ["Na", "Na", "Sm", "Sm", "Sm", "Sm", "Zn", "Zn", "O", "O", "O", "O", "O", "O", "O", "O", "O", "O"],
  "frac_coords": [[0.000, 0.000, 0.000], [0.500, 0.500, 0.000], [0.174, 0.326, 0.500], [0.326, 0.826, 0.500], [0.674, 0.174, 0.500], [0.826, 0.674, 0.500], [0.000, 0.500, 0.000], [0.500, 0.000, 0.000], [0.000, 0.000, 0.500], [0.137, 0.637, 0.249], [0.137, 0.637, 0.751], [0.363, 0.137, 0.249], [0.363, 0.137, 0.751], [0.500, 0.500, 0.500], [0.637, 0.863, 0.249], [0.637, 0.863, 0.751], [0.863, 0.363, 0.249], [0.863, 0.363, 0.751]]
}